Entry 1:
# CsNdGeTe3 | Alexandria via LeMat-Bulk | GGA-PBE | optimized geometry
# Energy relative to the elements, uncorrected, eV/atom: -0.963
# M_tot, μB per formula unit: 0.00
# Mass density, g/cm3: 4.8
data_CsNdGeTe3
_symmetry_space_group_name_H-M 'P 1 21/m 1'
_symmetry_Int_Tables_number 11
_cell_length_a 9.874
_cell_length_b 4.414
_cell_length_c 12.499
_cell_angle_alpha 90.00
_cell_angle_beta 112.26
_cell_angle_gamma 90.00
loop_
_symmetry_equiv_pos_as_xyz
'x,y,z'
'-x,-y,-z'
'-x,y+1/2,-z'
'x,-y+1/2,z'
loop_
_atom_site_label
_atom_site_type_symbol
_atom_site_fract_x
_atom_site_fract_y
_atom_site_fract_z
_atom_site_occupancy
Cs1 Cs 0.239 0.250 0.284 1
Nd1 Nd 0.363 0.750 0.841 1
Ge1 Ge 0.117 0.250 0.556 1
Te1 Te 0.110 0.250 0.770 1
Te2 Te 0.313 0.750 0.572 1
Te3 Te 0.391 0.750 0.102 1

Entry 2:
# Cs2NdGeTe4 | Alexandria via LeMat-Bulk | GGA-PBE | optimized geometry
# Energy relative to the elements, uncorrected, eV/atom: -0.880
# M_tot, μB per formula unit: 0.00
# Mass density, g/cm3: 4.7
data_Cs2NdGeTe4
_symmetry_space_group_name_H-M 'P 1'
_symmetry_Int_Tables_number 1
_cell_length_a 9.205
_cell_length_b 9.936
_cell_length_c 10.255
_cell_angle_alpha 62.90
_cell_angle_beta 63.37
_cell_angle_gamma 62.45
loop_
_symmetry_equiv_pos_as_xyz
'x,y,z'
loop_
_atom_site_label
_atom_site_type_symbol
_atom_site_fract_x
_atom_site_fract_y
_atom_site_fract_z
_atom_site_occupancy
Cs1 Cs 0.000 0.000 0.000 1
Cs2 Cs 0.001 0.980 0.517 1
Cs3 Cs 0.504 0.979 0.517 1
Cs4 Cs 0.996 0.476 0.539 1
Nd1 Nd 0.013 0.486 0.027 1
Nd2 Nd 0.476 0.487 0.026 1
Ge1 Ge 0.543 0.895 0.021 1
Ge2 Ge 0.554 0.508 0.385 1
Te1 Te 0.243 0.274 0.243 1
Te2 Te 0.251 0.693 0.805 1
Te3 Te 0.304 0.711 0.234 1
Te4 Te 0.327 0.231 0.816 1
Te5 Te 0.629 0.234 0.813 1
Te6 Te 0.736 0.700 0.830 1
Te7 Te 0.746 0.286 0.223 1
Te8 Te 0.754 0.709 0.235 1

Entry 3:
# CsNiGe3 | Alexandria via LeMat-Bulk | GGA-PBE | optimized geometry
# Offset from the most stable computed form, meV/atom: 1926
# M_tot, μB per formula unit: 0.00
# Formation energy from the elements, eV per atom: 2.341
# Mass density, g/cm3: 3.8
# D(E_F), states/eV per cell: 10.660
data_CsNiGe3
_symmetry_space_group_name_H-M 'P m -3 m'
_symmetry_Int_Tables_number 221
_symmetry_space_group_name_Hall '-P 4 2 3'
_cell_length_a 5.645
_cell_length_b 5.645
_cell_length_c 5.645
_cell_angle_alpha 90.00
_cell_angle_beta 90.00
_cell_angle_gamma 90.00
loop_
_atom_site_label
_atom_site_type_symbol
_atom_site_fract_x
_atom_site_fract_y
_atom_site_fract_z
_atom_site_occupancy
Cs1 Cs 0.000 0.000 0.000 1
Ni1 Ni 0.500 0.500 0.500 1
Ge1 Ge 0.000 0.000 0.500 1

Entry 4:
# CsNiGe2 | Alexandria via LeMat-Bulk | GGA-PBE | optimized geometry
# Offset from the most stable computed form, meV/atom: 866
# M_tot, μB per formula unit: 0.00
# Formation energy from the elements, eV per atom: 0.884
# Mass density, g/cm3: 6.1
# D(E_F), states/eV per cell: 16.434
data_CsNiGe2
_symmetry_space_group_name_H-M 'F m -3 m'
_symmetry_Int_Tables_number 225
_symmetry_space_group_name_Hall '-F 4 2 3'
_cell_length_a 7.168
_cell_length_b 7.168
_cell_length_c 7.168
_cell_angle_alpha 90.00
_cell_angle_beta 90.00
_cell_angle_gamma 90.00
loop_
_atom_site_label
_atom_site_type_symbol
_atom_site_fract_x
_atom_site_fract_y
_atom_site_fract_z
_atom_site_occupancy
Cs1 Cs 0.000 0.000 0.000 1
Ni1 Ni 0.000 0.000 0.500 1
Ge1 Ge 0.250 0.250 0.250 1